Record 1
DFT (PBE) results for a relaxed Tb3Pm5Er4 crystal.

Computed properties:
DFT total energy	-4.43	eV/atom
space group	C2/m (12)
excess energy over the best structure of this formula in the dataset	0.214	eV/atom
mass density	7.78	g/cm3
DFT formation energy	22.16	kJ/mol of atoms

Cell and atoms, written as CIF:
```
data_Tb3Pm5Er4
_chemical_formula_sum 'Tb3 Pm5 Er4'
_cell_length_a 5.6650
_cell_length_b 5.6650
_cell_length_c 14.9420
_cell_angle_alpha 106.11
_cell_angle_beta 106.11
_cell_angle_gamma 61.56
_symmetry_space_group_name_H-M 'P 1'
_symmetry_Int_Tables_number 1
loop_
_symmetry_equiv_pos_as_xyz
'x,y,z'
loop_
_atom_site_label
_atom_site_type_symbol
_atom_site_fract_x
_atom_site_fract_y
_atom_site_fract_z
_atom_site_occupancy
Tb1 Tb 0.0000 0.0000 0.0000 1
Tb2 Tb 0.2940 0.2940 0.7506 1
Tb3 Tb 0.7060 0.7060 0.2494 1
Pm1 Pm 0.0463 0.0463 0.2475 1
Pm2 Pm 0.1679 0.1679 0.4993 1
Pm3 Pm 0.5000 0.5000 0.0000 1
Pm4 Pm 0.8321 0.8321 0.5007 1
Pm5 Pm 0.9537 0.9537 0.7525 1
Er1 Er 0.3238 0.3238 0.1448 1
Er2 Er 0.4390 0.4390 0.3764 1
Er3 Er 0.5610 0.5610 0.6236 1
Er4 Er 0.6762 0.6762 0.8552 1
```



Record 2
DFT (PBE) results for a relaxed CsKOsF6 crystal.

Computed properties:
DFT total energy	-4.97	eV/atom
space group	P312 (149)
formation energy (no corrections)	-2.259	eV/atom
mass density	3.85	g/cm3

Cell and atoms, written as CIF:
```
data_CsKOsF6
_chemical_formula_sum 'Cs1 K1 Os1 F6'
_cell_length_a 6.4157
_cell_length_b 6.4157
_cell_length_c 5.7588
_cell_angle_alpha 90.00
_cell_angle_beta 90.00
_cell_angle_gamma 120.00
_symmetry_space_group_name_H-M 'P 1'
_symmetry_Int_Tables_number 1
loop_
_symmetry_equiv_pos_as_xyz
'x,y,z'
loop_
_atom_site_label
_atom_site_type_symbol
_atom_site_fract_x
_atom_site_fract_y
_atom_site_fract_z
_atom_site_occupancy
Cs1 Cs 0.0000 0.0000 0.0000 1
K1 K 0.3333 0.6667 0.5000 1
Os1 Os 0.6667 0.3333 0.5000 1
F1 F 0.4140 0.0774 0.6950 1
F2 F 0.4140 0.3366 0.3050 1
F3 F 0.6634 0.0774 0.3050 1
F4 F 0.6634 0.5860 0.6950 1
F5 F 0.9226 0.3366 0.6950 1
F6 F 0.9226 0.5860 0.3050 1
```



Record 3
DFT (PBE) results for a relaxed LaSmInCu crystal.

Computed properties:
DFT total energy	-4.39	eV/atom
space group	F-43m (216)
mass density	7.15	g/cm3
DFT formation energy	-25.61	kJ/mol of atoms

Cell and atoms, written as CIF:
```
data_LaSmInCu
_chemical_formula_sum 'La1 Sm1 In1 Cu1'
_cell_length_a 5.3563
_cell_length_b 5.3563
_cell_length_c 5.3563
_cell_angle_alpha 60.00
_cell_angle_beta 60.00
_cell_angle_gamma 60.00
_symmetry_space_group_name_H-M 'P 1'
_symmetry_Int_Tables_number 1
loop_
_symmetry_equiv_pos_as_xyz
'x,y,z'
loop_
_atom_site_label
_atom_site_type_symbol
_atom_site_fract_x
_atom_site_fract_y
_atom_site_fract_z
_atom_site_occupancy
La1 La 0.0000 0.0000 0.0000 1
Sm1 Sm 0.5000 0.5000 0.5000 1
In1 In 0.7500 0.7500 0.7500 1
Cu1 Cu 0.2500 0.2500 0.2500 1
```



Record 4
DFT (PBE) results for a relaxed LiFeIr3 crystal.

Computed properties:
DFT total energy	-6.30	eV/atom
space group	Pm-3m (221)
excess energy over the best structure of this formula in the dataset	1.082	eV/atom
mass density	15.94	g/cm3
DFT formation energy	105.00	kJ/mol of atoms

Cell and atoms, written as CIF:
```
data_LiFeIr3
_chemical_formula_sum 'Li1 Fe1 Ir3'
_cell_length_a 4.0534
_cell_length_b 4.0534
_cell_length_c 4.0534
_cell_angle_alpha 90.00
_cell_angle_beta 90.00
_cell_angle_gamma 90.00
_symmetry_space_group_name_H-M 'P 1'
_symmetry_Int_Tables_number 1
loop_
_symmetry_equiv_pos_as_xyz
'x,y,z'
loop_
_atom_site_label
_atom_site_type_symbol
_atom_site_fract_x
_atom_site_fract_y
_atom_site_fract_z
_atom_site_occupancy
Li1 Li 0.0000 0.0000 0.0000 1
Fe1 Fe 0.5000 0.5000 0.5000 1
Ir1 Ir 0.0000 0.0000 0.5000 1
Ir2 Ir 0.0000 0.5000 0.0000 1
Ir3 Ir 0.5000 0.0000 0.0000 1
```



Record 5
DFT (PBE) results for a relaxed KMg2Se crystal.

Computed properties:
DFT total energy	-2.13	eV/atom
space group	C2/m (12)
formation energy (no corrections)	-0.190	eV/atom
mass density	2.53	g/cm3

Cell and atoms, written as CIF:
```
data_KMg2Se
_chemical_formula_sum 'K1 Mg2 Se1'
_cell_length_a 6.9802
_cell_length_b 6.9802
_cell_length_c 3.1969
_cell_angle_alpha 102.99
_cell_angle_beta 102.99
_cell_angle_gamma 125.97
_symmetry_space_group_name_H-M 'P 1'
_symmetry_Int_Tables_number 1
loop_
_symmetry_equiv_pos_as_xyz
'x,y,z'
loop_
_atom_site_label
_atom_site_type_symbol
_atom_site_fract_x
_atom_site_fract_y
_atom_site_fract_z
_atom_site_occupancy
K1 K 0.0000 0.0000 0.0000 1
Mg1 Mg 0.0000 0.5000 0.0000 1
Mg2 Mg 0.5000 0.0000 0.0000 1
Se1 Se 0.5000 0.5000 0.0000 1
```



Record 6
DFT (PBE) results for a relaxed SmEr2Pt crystal.

Computed properties:
DFT total energy	-5.65	eV/atom
space group	P2_1/m (11)
excess energy over the best structure of this formula in the dataset	0.030	eV/atom
mass density	10.48	g/cm3
DFT formation energy	-65.72	kJ/mol of atoms

Cell and atoms, written as CIF:
```
data_SmEr2Pt
_chemical_formula_sum 'Sm2 Er4 Pt2'
_cell_length_a 3.7892
_cell_length_b 9.1709
_cell_length_c 6.4812
_cell_angle_alpha 90.00
_cell_angle_beta 106.92
_cell_angle_gamma 90.00
_symmetry_space_group_name_H-M 'P 1'
_symmetry_Int_Tables_number 1
loop_
_symmetry_equiv_pos_as_xyz
'x,y,z'
loop_
_atom_site_label
_atom_site_type_symbol
_atom_site_fract_x
_atom_site_fract_y
_atom_site_fract_z
_atom_site_occupancy
Sm1 Sm 0.0620 0.2500 0.1251 1
Sm2 Sm 0.9380 0.7500 0.8749 1
Er1 Er 0.3616 0.0619 0.7227 1
Er2 Er 0.3616 0.4381 0.7227 1
Er3 Er 0.6384 0.5619 0.2773 1
Er4 Er 0.6384 0.9381 0.2773 1
Pt1 Pt 0.2391 0.7500 0.4788 1
Pt2 Pt 0.7609 0.2500 0.5212 1
```



Record 7
DFT (PBE) results for a relaxed Pr3Te2As crystal.

Computed properties:
DFT total energy	-5.73	eV/atom
space group	C2/m (12)
formation energy (no corrections)	-1.517	eV/atom
excess energy over the best structure of this formula in the dataset	0.000	eV/atom
mass density	6.62	g/cm3

Cell and atoms, written as CIF:
```
data_Pr3Te2As
_chemical_formula_sum 'Pr6 Te4 As2'
_cell_length_a 7.6764
_cell_length_b 7.6764
_cell_length_c 7.8215
_cell_angle_alpha 99.43
_cell_angle_beta 99.43
_cell_angle_gamma 119.91
_symmetry_space_group_name_H-M 'P 1'
_symmetry_Int_Tables_number 1
loop_
_symmetry_equiv_pos_as_xyz
'x,y,z'
loop_
_atom_site_label
_atom_site_type_symbol
_atom_site_fract_x
_atom_site_fract_y
_atom_site_fract_z
_atom_site_occupancy
Pr1 Pr 0.0718 0.4231 0.7724 1
Pr2 Pr 0.2224 0.2224 0.2239 1
Pr3 Pr 0.4231 0.0718 0.7724 1
Pr4 Pr 0.5769 0.9282 0.2276 1
Pr5 Pr 0.7776 0.7776 0.7761 1
Pr6 Pr 0.9282 0.5769 0.2276 1
Te1 Te 0.0000 0.0000 0.5000 1
Te2 Te 0.3392 0.6608 0.5000 1
Te3 Te 0.5000 0.5000 0.0000 1
Te4 Te 0.6608 0.3392 0.5000 1
As1 As 0.1679 0.8321 0.0000 1
As2 As 0.8321 0.1679 0.0000 1
```



Record 8
DFT (PBE) results for a relaxed ErNpSeS2 crystal.

Computed properties:
DFT total energy	-7.06	eV/atom
space group	I4mm (107)
formation energy (no corrections)	-1.210	eV/atom
mass density	7.31	g/cm3

Cell and atoms, written as CIF:
```
data_ErNpSeS2
_chemical_formula_sum 'Er1 Np1 Se1 S2'
_cell_length_a 7.3311
_cell_length_b 7.3311
_cell_length_c 7.3311
_cell_angle_alpha 145.75
_cell_angle_beta 145.75
_cell_angle_gamma 49.22
_symmetry_space_group_name_H-M 'P 1'
_symmetry_Int_Tables_number 1
loop_
_symmetry_equiv_pos_as_xyz
'x,y,z'
loop_
_atom_site_label
_atom_site_type_symbol
_atom_site_fract_x
_atom_site_fract_y
_atom_site_fract_z
_atom_site_occupancy
Er1 Er 0.0000 0.0000 0.0000 1
Np1 Np 0.2663 0.2663 0.0000 1
Se1 Se 0.6425 0.6425 0.0000 1
S1 S 0.3891 0.8891 0.5000 1
S2 S 0.8891 0.3891 0.5000 1
```